Material: La8Nd3Pu
Method: DFT, PBE
State: relaxed

a = 8.591 Å, b = 8.591 Å, c = 8.591 Å
α = 93.70°, β = 117.88°, γ = 117.88°
Last column: magnetic moment on the atom in μB.
Fractional coordinates of all 12 atoms:
1 Pu 0.000 0.000 0.000  5.48
2 Nd 0.000 0.500 0.500  -0.05
3 Nd 0.500 0.750 0.250  -0.09
4 Nd 0.500 0.250 0.750  -0.09
5 La 0.758 0.115 0.115  -0.01
6 La 0.000 0.885 0.643  -0.01
7 La 0.000 0.643 0.885  -0.01
8 La 0.538 0.746 0.746  0.11
9 La 0.000 0.254 0.793  0.11
10 La 0.462 0.207 0.207  0.11
11 La 0.000 0.793 0.254  0.11
12 La 0.242 0.357 0.357  -0.01

Properties
- space-group type = I-42m, No. 121
- total moment (μB per atom) = 0.45
- formation energy (eV/atom) = 0.42

---

Material: La8Nd6Pu
Method: DFT, PBE
State: relaxed

a = 8.990 Å, b = 8.990 Å, c = 8.990 Å
α = 63.83°, β = 63.83°, γ = 63.83°
Last column: magnetic moment on the atom in μB.
Fractional coordinates of all 15 atoms:
1 La 0.133 0.829 0.413  -0.02
2 La 0.867 0.171 0.587  -0.02
3 La 0.757 0.757 0.757  -0.03
4 La 0.829 0.413 0.133  -0.02
5 La 0.413 0.133 0.829  -0.02
6 La 0.243 0.243 0.243  -0.03
7 La 0.587 0.867 0.171  -0.02
8 La 0.171 0.587 0.867  -0.02
9 Pu 0.000 0.000 0.000  5.57
10 Nd 0.342 0.910 0.641  0.01
11 Nd 0.910 0.641 0.342  0.01
12 Nd 0.359 0.658 0.090  0.01
13 Nd 0.090 0.359 0.658  0.01
14 Nd 0.641 0.342 0.910  0.01
15 Nd 0.658 0.090 0.359  0.01

Properties
- space-group type = R-3, No. 148
- total moment (μB per atom) = 0.38
- formation energy (eV/atom) = 0.23

---

Material: La2NdPu
Method: DFT, PBE
State: relaxed

a = 5.041 Å, b = 5.154 Å, c = 5.154 Å
α = 90.00°, β = 90.00°, γ = 90.00°
Last column: magnetic moment on the atom in μB.
Fractional coordinates of all 4 atoms:
1 La 0.000 0.500 0.000  -0.11
2 La 0.000 0.000 0.500  -0.11
3 Pu 0.500 0.000 0.000  -5.57
4 Nd 0.500 0.500 0.500  -0.06

Properties
- space-group type = P4/mmm, No. 123
- total moment (μB per atom) = 1.66
- polymorph energy (0 for the lowest one) (kJ/mol of formula units) = 12.2
- formation energy (eV/atom) = 0.14